[1]
Entry from Alexandria: a geometry-optimized Li2GdAg structure (GGA-PBE).

a b c (Å): 4.2159 4.2159 5.1275
angles (deg): 90.00 90.00 90.00
Closest atoms and distances in Å follow each position.
Fractional coordinates of all 4 atoms:
Li 0.0000 0.5000 0.0000  4 Li 2.98, 4 Gd 3.32, 4 Ag 3.32
Li 0.5000 0.0000 0.0000  4 Li 2.98, 4 Gd 3.32, 4 Ag 3.32
Gd 0.0000 0.0000 0.5000  4 Ag 2.98, 8 Li 3.32
Ag 0.5000 0.5000 0.5000  4 Gd 2.98, 8 Li 3.32

Output
N(E_F) (states/eV/f.u.): 4.4
M_tot (μB/cell): 7.8
ΔH_f (0 K) (meV/atom): 0
Theoretical density (g/cm3): 5.08
SG: P4/mmm
ΔE to the lowest computed polymorph (eV/f.u.): 0.12

[2]
Entry from Alexandria: a geometry-optimized LiGdLuAg structure (GGA-PBE).

a b c (Å): 7.2596 7.2596 7.2596
angles (deg): 90.00 90.00 90.00
Closest atoms and distances in Å follow each position.
Fractional coordinates of all 16 atoms:
Li 0.0000 0.0000 0.0000  4 Gd 3.14, 4 Lu 3.14
Li 0.0000 0.5000 0.5000  4 Gd 3.14, 4 Lu 3.14
Li 0.5000 0.0000 0.5000  4 Gd 3.14, 4 Lu 3.14
Li 0.5000 0.5000 0.0000  4 Gd 3.14, 4 Lu 3.14
Gd 0.2500 0.2500 0.7500  4 Li 3.14, 4 Ag 3.14
Gd 0.2500 0.7500 0.2500  4 Li 3.14, 4 Ag 3.14
Gd 0.7500 0.2500 0.2500  4 Li 3.14, 4 Ag 3.14
Gd 0.7500 0.7500 0.7500  4 Li 3.14, 4 Ag 3.14
Lu 0.2500 0.2500 0.2500  4 Li 3.14, 4 Ag 3.14
Lu 0.2500 0.7500 0.7500  4 Li 3.14, 4 Ag 3.14
Lu 0.7500 0.2500 0.7500  4 Li 3.14, 4 Ag 3.14
Lu 0.7500 0.7500 0.2500  4 Li 3.14, 4 Ag 3.14
Ag 0.0000 0.0000 0.5000  4 Gd 3.14, 4 Lu 3.14
Ag 0.0000 0.5000 0.0000  4 Gd 3.14, 4 Lu 3.14
Ag 0.5000 0.0000 0.0000  4 Gd 3.14, 4 Lu 3.14
Ag 0.5000 0.5000 0.5000  4 Gd 3.14, 4 Lu 3.14

Output
N(E_F) (states/eV/f.u.): 4.1
M_tot (μB/cell): 29.1
ΔH_f (0 K) (meV/atom): -98
Theoretical density (g/cm3): 7.76
SG: F-43m

[3]
Entry from Alexandria: a geometry-optimized LiGdMgAg structure (GGA-PBE).

a b c (Å): 7.1281 7.1281 7.1281
angles (deg): 90.00 90.00 90.00
Closest atoms and distances in Å follow each position.
Fractional coordinates of all 16 atoms:
Li 0.0000 0.0000 0.0000  4 Ag 3.09, 4 Mg 3.09
Li 0.0000 0.5000 0.5000  4 Ag 3.09, 4 Mg 3.09
Li 0.5000 0.0000 0.5000  4 Ag 3.09, 4 Mg 3.09
Li 0.5000 0.5000 0.0000  4 Ag 3.09, 4 Mg 3.09
Gd 0.0000 0.0000 0.5000  4 Mg 3.09, 4 Ag 3.09
Gd 0.0000 0.5000 0.0000  4 Mg 3.09, 4 Ag 3.09
Gd 0.5000 0.0000 0.0000  4 Mg 3.09, 4 Ag 3.09
Gd 0.5000 0.5000 0.5000  4 Mg 3.09, 4 Ag 3.09
Mg 0.2500 0.2500 0.7500  4 Gd 3.09, 4 Li 3.09
Mg 0.2500 0.7500 0.2500  4 Gd 3.09, 4 Li 3.09
Mg 0.7500 0.2500 0.2500  4 Gd 3.09, 4 Li 3.09
Mg 0.7500 0.7500 0.7500  4 Li 3.09, 4 Gd 3.09
Ag 0.2500 0.2500 0.2500  4 Gd 3.09, 4 Li 3.09
Ag 0.2500 0.7500 0.7500  4 Gd 3.09, 4 Li 3.09
Ag 0.7500 0.2500 0.7500  4 Gd 3.09, 4 Li 3.09
Ag 0.7500 0.7500 0.2500  4 Gd 3.09, 4 Li 3.09

Output
N(E_F) (states/eV/f.u.): 4.5
M_tot (μB/cell): 31.2
ΔH_f (0 K) (meV/atom): -66
Theoretical density (g/cm3): 5.44
SG: F-43m

[4]
Entry from Alexandria: a geometry-optimized LiNdGdAg structure (GGA-PBE).

a b c (Å): 7.4517 7.4517 7.4517
angles (deg): 90.00 90.00 90.00
Closest atoms and distances in Å follow each position.
Fractional coordinates of all 16 atoms:
Li 0.0000 0.0000 0.0000  4 Gd 3.23, 4 Nd 3.23
Li 0.0000 0.5000 0.5000  4 Gd 3.23, 4 Nd 3.23
Li 0.5000 0.0000 0.5000  4 Gd 3.23, 4 Nd 3.23
Li 0.5000 0.5000 0.0000  4 Gd 3.23, 4 Nd 3.23
Nd 0.2500 0.2500 0.7500  4 Li 3.23, 4 Ag 3.23
Nd 0.2500 0.7500 0.2500  4 Li 3.23, 4 Ag 3.23
Nd 0.7500 0.2500 0.2500  4 Li 3.23, 4 Ag 3.23
Nd 0.7500 0.7500 0.7500  4 Li 3.23, 4 Ag 3.23
Gd 0.2500 0.2500 0.2500  4 Ag 3.23, 4 Li 3.23
Gd 0.2500 0.7500 0.7500  4 Li 3.23, 4 Ag 3.23
Gd 0.7500 0.2500 0.7500  4 Li 3.23, 4 Ag 3.23
Gd 0.7500 0.7500 0.2500  4 Li 3.23, 4 Ag 3.23
Ag 0.0000 0.0000 0.5000  4 Nd 3.23, 4 Gd 3.23
Ag 0.0000 0.5000 0.0000  4 Nd 3.23, 4 Gd 3.23
Ag 0.5000 0.0000 0.0000  4 Nd 3.23, 4 Gd 3.23
Ag 0.5000 0.5000 0.5000  4 Nd 3.23, 4 Gd 3.23

Output
N(E_F) (states/eV/f.u.): 5.9
M_tot (μB/cell): 31.3
ΔH_f (0 K) (meV/atom): -79
Theoretical density (g/cm3): 6.68
SG: F-43m

[5]
Entry from Alexandria: a geometry-optimized LiGdNiAg structure (GGA-PBE).

a b c (Å): 6.5922 6.5922 6.5922
angles (deg): 90.00 90.00 90.00
Closest atoms and distances in Å follow each position.
Fractional coordinates of all 16 atoms:
Li 0.0000 0.0000 0.0000  4 Gd 2.85, 4 Ag 2.85
Li 0.0000 0.5000 0.5000  4 Gd 2.85, 4 Ag 2.85
Li 0.5000 0.0000 0.5000  4 Gd 2.85, 4 Ag 2.85
Li 0.5000 0.5000 0.0000  4 Gd 2.85, 4 Ag 2.85
Gd 0.2500 0.2500 0.2500  4 Li 2.85, 4 Ni 2.85
Gd 0.2500 0.7500 0.7500  4 Li 2.85, 4 Ni 2.85
Gd 0.7500 0.2500 0.7500  4 Li 2.85, 4 Ni 2.85
Gd 0.7500 0.7500 0.2500  4 Li 2.85, 4 Ni 2.85
Ni 0.0000 0.0000 0.5000  4 Gd 2.85, 4 Ag 2.85
Ni 0.0000 0.5000 0.0000  4 Gd 2.85, 4 Ag 2.85
Ni 0.5000 0.0000 0.0000  4 Gd 2.85, 4 Ag 2.85
Ni 0.5000 0.5000 0.5000  4 Gd 2.85, 4 Ag 2.85
Ag 0.2500 0.2500 0.7500  4 Li 2.85, 4 Ni 2.85
Ag 0.2500 0.7500 0.2500  4 Li 2.85, 4 Ni 2.85
Ag 0.7500 0.2500 0.2500  4 Li 2.85, 4 Ni 2.85
Ag 0.7500 0.7500 0.7500  4 Li 2.85, 4 Ni 2.85

Output
N(E_F) (states/eV/f.u.): 2.3
M_tot (μB/cell): 28.9
ΔH_f (0 K) (meV/atom): -133
Theoretical density (g/cm3): 7.67
SG: F-43m

[6]
Entry from Alexandria: a geometry-optimized LiPrGdAg structure (GGA-PBE).

a b c (Å): 7.4821 7.4821 7.4821
angles (deg): 90.00 90.00 90.00
Closest atoms and distances in Å follow each position.
Fractional coordinates of all 16 atoms:
Li 0.0000 0.0000 0.0000  4 Gd 3.24, 4 Pr 3.24
Li 0.0000 0.5000 0.5000  4 Pr 3.24, 4 Gd 3.24
Li 0.5000 0.0000 0.5000  4 Pr 3.24, 4 Gd 3.24
Li 0.5000 0.5000 0.0000  4 Pr 3.24, 4 Gd 3.24
Pr 0.2500 0.2500 0.2500  4 Li 3.24, 4 Ag 3.24
Pr 0.2500 0.7500 0.7500  4 Li 3.24, 4 Ag 3.24
Pr 0.7500 0.2500 0.7500  4 Li 3.24, 4 Ag 3.24
Pr 0.7500 0.7500 0.2500  4 Li 3.24, 4 Ag 3.24
Gd 0.2500 0.2500 0.7500  4 Li 3.24, 4 Ag 3.24
Gd 0.2500 0.7500 0.2500  4 Li 3.24, 4 Ag 3.24
Gd 0.7500 0.2500 0.2500  4 Li 3.24, 4 Ag 3.24
Gd 0.7500 0.7500 0.7500  4 Ag 3.24, 4 Li 3.24
Ag 0.0000 0.0000 0.5000  4 Gd 3.24, 4 Pr 3.24
Ag 0.0000 0.5000 0.0000  4 Gd 3.24, 4 Pr 3.24
Ag 0.5000 0.0000 0.0000  4 Gd 3.24, 4 Pr 3.24
Ag 0.5000 0.5000 0.5000  4 Gd 3.24, 4 Pr 3.24

Output
N(E_F) (states/eV/f.u.): 5.9
M_tot (μB/cell): 31.6
ΔH_f (0 K) (meV/atom): -78
Theoretical density (g/cm3): 6.55
SG: F-43m